Entry 1:
InMo2Os after structural relaxation, computed with GGA-PBE.

POSCAR file:
```
InMo2Os
1.0
4.255 0.000 0.000
0.000 3.933 0.000
0.000 0.000 3.933
In Mo Os
1 2 1
direct
0.500 0.000 0.500
0.000 0.000 0.000
0.000 0.500 0.500
0.500 0.500 0.000
```

Its energy is -8.48 eV per atom. The formation energy is 0.43 eV/atom. As for the space-group type: No. 123. The value obtained for the density of states at the Fermi level is 1.266 states/eV/atom.



Entry 2:
HfScHg4 after structural relaxation, computed with GGA-PBE.

POSCAR file:
```
HfScHg4
1.0
3.153 0.000 0.912
1.982 6.059 -0.947
-0.445 -2.841 7.446
Hf Sc Hg
1 1 4
direct
0.000 0.000 0.000
0.500 0.500 0.500
0.831 0.508 0.830
0.330 0.008 0.331
0.169 0.492 0.170
0.670 0.992 0.669
```

Its energy is -3.03 eV per atom. The formation energy is -0.11 eV/atom. As for the space-group type: No. 12. The value obtained for the density of states at the Fermi level is 0.710 states/eV/atom.



Entry 3:
KSe2Br after structural relaxation, computed with GGA-PBE.

POSCAR file:
```
KSe2Br
1.0
6.005 0.000 0.000
0.000 3.872 -0.035
0.000 0.065 5.489
Br K Se
1 1 2
direct
0.500 0.250 0.250
0.500 0.750 0.750
0.000 0.248 0.954
0.000 0.252 0.546
```

Its energy is -2.99 eV per atom. Its uncorrected formation energy is -0.55 eV/atom. As for the space-group type: No. 10. The value obtained for the density of states at the Fermi level is 0.625 states/eV/atom.